The following is a DFT calculation (PBE) of a geometry-optimized Nd4AuCI2 structure. Values from VASP.

```
&SYSTEM
  ibrav = 0, nat = 8, ntyp = 4
/
ATOMIC_SPECIES
Nd 144.24 Nd.upf
Au 196.97 Au.upf
C 12.01 C.upf
I 126.90 I.upf
ATOMIC_POSITIONS angstrom
Nd 1.045 0.000 1.390
Nd -0.193 2.014 6.296
Nd 5.421 2.014 1.439
Nd 4.183 0.000 6.345
Au 3.781 0.000 0.000
C 0.000 2.014 0.000
I -1.167 0.000 3.868
I 2.614 2.014 3.868
CELL_PARAMETERS angstrom
7.561 0.000 0.000
0.000 4.029 0.000
-2.334 0.000 7.735
```

The magnetic moment comes out at 0.0 Bohr magnetons per cell. The space-group type is P2/m (10). The total energy comes out at -5.0350 eV per atom. As for the crystal system: monoclinic.

***

The following is a DFT calculation (PBE) of a geometry-optimized K2PrZn2Se4 structure. Values from VASP.

```
&SYSTEM
  ibrav = 0, nat = 9, ntyp = 4
/
ATOMIC_SPECIES
K 39.10 K.upf
Pr 140.91 Pr.upf
Zn 65.41 Zn.upf
Se 78.96 Se.upf
ATOMIC_POSITIONS angstrom
K 1.901 0.000 0.433
K 11.294 0.000 7.063
Pr -1.406 0.000 3.748
Zn 3.736 0.000 3.808
Zn 9.460 0.000 3.688
Se 1.370 0.000 5.074
Se 5.516 0.000 5.551
Se 7.680 0.000 1.945
Se 11.826 0.000 2.422
CELL_PARAMETERS angstrom
8.004 -2.164 0.000
8.004 2.164 0.000
-2.812 0.000 7.496
```

The magnetic moment comes out at 0.0 Bohr magnetons per cell. The space-group type is C2/m (12). The total energy comes out at -3.6970 eV per atom. As for the crystal system: monoclinic.

***

The following is a DFT calculation (PBE) of a geometry-optimized Tb3PmNd2Ho6 structure. Values from VASP.

```
&SYSTEM
  ibrav = 0, nat = 12, ntyp = 4
/
ATOMIC_SPECIES
Tb 158.93 Tb.upf
Pm 145.00 Pm.upf
Nd 144.24 Nd.upf
Ho 164.93 Ho.upf
ATOMIC_POSITIONS angstrom
Tb 0.000 0.000 0.000
Tb 3.096 1.786 0.000
Tb 3.096 -1.786 0.000
Pm 2.068 0.000 5.802
Nd 2.068 3.572 5.802
Nd 2.068 -3.572 5.802
Ho 1.031 1.786 2.868
Ho 0.010 0.000 8.736
Ho 1.031 -1.786 2.868
Ho 3.105 1.786 8.736
Ho 4.125 0.000 2.868
Ho 3.105 -1.786 8.736
CELL_PARAMETERS angstrom
3.096 -5.359 0.000
3.096 5.359 0.000
-2.056 0.000 11.604
```

The formation energy comes out at 0.38 kcal/mol of atoms. The magnetic moment comes out at 0.0 Bohr magnetons per cell. The space-group type is C2/m (12). The total energy comes out at -4.6206 eV per atom. As for the crystal system: monoclinic.

***

The following is a DFT calculation (PBE) of a geometry-optimized KLiBe2 structure. Values from VASP.

```
&SYSTEM
  ibrav = 0, nat = 4, ntyp = 3
/
ATOMIC_SPECIES
K 39.10 K.upf
Li 6.94 Li.upf
Be 9.01 Be.upf
ATOMIC_POSITIONS angstrom
K 0.000 0.000 0.000
Li 3.379 0.000 0.000
Be 1.689 2.261 1.333
Be 1.689 -2.261 1.333
CELL_PARAMETERS angstrom
3.379 -4.523 0.000
3.379 4.523 0.000
0.000 0.000 2.665
```

The formation energy comes out at 24.25 kcal/mol of atoms. The magnetic moment comes out at 0.0 Bohr magnetons per cell. The calculation puts the energy above the most stable polymorph in this dataset at 876 meV/atom. The space-group type is Cmmm (65). The total energy comes out at -1.5642 eV per atom. As for the crystal system: orthorhombic.

***

The following is a DFT calculation (PBE) of a geometry-optimized SrCaY2 structure. Values from VASP.

```
&SYSTEM
  ibrav = 0, nat = 4, ntyp = 3
/
ATOMIC_SPECIES
Sr 87.62 Sr.upf
Ca 40.08 Ca.upf
Y 88.91 Y.upf
ATOMIC_POSITIONS angstrom
Sr 0.000 0.000 0.000
Ca 3.624 0.000 0.000
Y 1.128 3.133 1.672
Y 1.128 -3.133 1.672
CELL_PARAMETERS angstrom
3.624 -6.266 0.000
3.624 6.266 0.000
-1.368 0.000 3.343
```

The formation energy comes out at 4.56 kcal/mol of atoms. The magnetic moment comes out at 0.0 Bohr magnetons per cell. The calculation puts the energy above the most stable polymorph in this dataset at 114 meV/atom. The space-group type is C2/m (12). The total energy comes out at -3.9550 eV per atom. As for the crystal system: monoclinic.

***

The following is a DFT calculation (PBE) of a geometry-optimized Ca3Ru2N4 structure. Values from VASP.

```
&SYSTEM
  ibrav = 0, nat = 36, ntyp = 3
/
ATOMIC_SPECIES
Ca 40.08 Ca.upf
Ru 101.07 Ru.upf
N 14.01 N.upf
ATOMIC_POSITIONS angstrom
Ca 0.743 1.579 0.664
Ca 0.743 3.544 3.645
Ca 1.494 0.000 3.457
Ca 1.494 5.123 0.853
Ca 2.244 6.702 3.645
Ca 2.244 8.668 0.664
Ca 3.731 1.579 7.954
Ca 3.731 3.544 4.973
Ca 4.482 0.000 5.162
Ca 4.482 5.123 7.766
Ca 5.232 6.702 4.973
Ca 5.232 8.668 7.954
Ru 1.155 2.562 6.464
Ru 1.494 0.000 6.411
Ru 1.494 5.123 6.517
Ru 1.832 7.685 6.464
Ru 4.143 2.562 2.155
Ru 4.482 0.000 2.207
Ru 4.482 5.123 2.102
Ru 4.820 7.685 2.155
N 0.176 6.138 2.726
N 0.176 9.232 1.583
N 0.494 6.591 7.406
N 0.494 8.778 5.522
N 2.493 1.468 5.522
N 2.493 3.655 7.406
N 2.812 1.015 1.583
N 2.812 4.108 2.726
N 3.164 6.138 5.892
N 3.164 9.232 7.035
N 3.482 6.591 1.213
N 3.482 8.778 3.096
N 5.481 1.468 3.096
N 5.481 3.655 1.213
N 5.800 1.015 7.035
N 5.800 4.108 5.892
CELL_PARAMETERS angstrom
5.976 0.000 0.000
0.000 10.246 0.000
0.000 0.000 8.618
```

The magnetic moment comes out at 0.0 Bohr magnetons per cell. The calculation puts the energy above the most stable polymorph in this dataset at 0 meV/atom. The space-group type is Pnna (52). The total energy comes out at -6.8508 eV per atom. As for the crystal system: orthorhombic.

***

The following is a DFT calculation (PBE) of a geometry-optimized Ti2CuNi4 structure. Values from VASP.

```
&SYSTEM
  ibrav = 0, nat = 7, ntyp = 3
/
ATOMIC_SPECIES
Ti 47.87 Ti.upf
Cu 63.55 Cu.upf
Ni 58.69 Ni.upf
ATOMIC_POSITIONS angstrom
Ti 0.000 0.000 1.600
Ti 0.000 0.000 14.666
Cu 0.000 0.000 8.133
Ni 1.680 0.000 4.067
Ni 0.000 0.000 5.768
Ni 0.000 0.000 10.499
Ni 0.000 1.680 4.067
CELL_PARAMETERS angstrom
-1.680 1.680 8.133
1.680 -1.680 8.133
1.680 1.680 -8.133
```

The formation energy comes out at -3.22 kcal/mol of atoms. The magnetic moment comes out at 0.0 Bohr magnetons per cell. The calculation puts the energy above the most stable polymorph in this dataset at 0 meV/atom. The space-group type is I4/mmm (139). The total energy comes out at -6.2840 eV per atom. As for the crystal system: tetragonal.

***

The following is a DFT calculation (PBE) of a geometry-optimized HfBeSeN2 structure. Values from VASP.

```
&SYSTEM
  ibrav = 0, nat = 5, ntyp = 4
/
ATOMIC_SPECIES
Hf 178.49 Hf.upf
Be 9.01 Be.upf
Se 78.96 Se.upf
N 14.01 N.upf
ATOMIC_POSITIONS angstrom
Hf 0.000 0.000 0.000
Be 2.001 2.001 2.857
Se 0.000 0.000 2.857
N 0.000 2.001 0.000
N 2.001 0.000 0.000
CELL_PARAMETERS angstrom
4.002 0.000 0.000
0.000 4.002 0.000
0.000 0.000 5.713
```

The magnetic moment comes out at 0.1 Bohr magnetons per cell. The calculation puts the energy above the most stable polymorph in this dataset at 54 meV/atom. The space-group type is P4/mmm (123). The total energy comes out at -6.2241 eV per atom. As for the crystal system: tetragonal.

***

The following is a DFT calculation (PBE) of a geometry-optimized Na3AgHg4 structure. Values from VASP.

```
&SYSTEM
  ibrav = 0, nat = 16, ntyp = 3
/
ATOMIC_SPECIES
Na 22.99 Na.upf
Ag 107.87 Ag.upf
Hg 200.59 Hg.upf
ATOMIC_POSITIONS angstrom
Na 0.000 0.000 0.000
Na 2.508 0.000 2.486
Na 2.508 3.841 2.480
Na 5.016 0.000 0.000
Na 7.524 0.000 2.531
Na 7.524 3.841 2.537
Ag 0.000 3.841 0.000
Ag 5.016 3.841 0.000
Hg 0.000 2.029 2.508
Hg 0.000 5.653 2.508
Hg 2.508 2.029 4.990
Hg 2.508 5.654 4.990
Hg 5.016 2.029 2.508
Hg 5.016 5.653 2.508
Hg 7.524 2.029 0.027
Hg 7.524 5.654 0.027
CELL_PARAMETERS angstrom
10.032 0.000 0.000
0.000 7.683 0.000
0.000 0.000 5.017
```

The formation energy comes out at -4.16 kcal/mol of atoms. The magnetic moment comes out at 0.0 Bohr magnetons per cell. The space-group type is Pmma (51). The total energy comes out at -1.1822 eV per atom. As for the crystal system: orthorhombic.

***

The following is a DFT calculation (PBE) of a geometry-optimized Ca2CdAu4 structure. Values from VASP.

```
&SYSTEM
  ibrav = 0, nat = 7, ntyp = 3
/
ATOMIC_SPECIES
Ca 40.08 Ca.upf
Cd 112.41 Cd.upf
Au 196.97 Au.upf
ATOMIC_POSITIONS angstrom
Ca 0.000 0.000 1.934
Ca 0.000 0.000 13.270
Cd 0.000 0.000 7.602
Au 2.590 0.000 0.000
Au 0.000 0.000 4.809
Au 0.000 2.590 0.000
Au 0.000 0.000 10.395
CELL_PARAMETERS angstrom
-2.590 2.590 7.602
2.590 -2.590 7.602
2.590 2.590 -7.602
```

The formation energy comes out at -5.35 kcal/mol of atoms. The magnetic moment comes out at 0.0 Bohr magnetons per cell. The space-group type is I4/mmm (139). The total energy comes out at -2.8074 eV per atom. As for the crystal system: tetragonal.

***

The following is a DFT calculation (PBE) of a geometry-optimized LiMnSbAu structure. Values from VASP.

```
&SYSTEM
  ibrav = 0, nat = 4, ntyp = 4
/
ATOMIC_SPECIES
Li 6.94 Li.upf
Mn 54.94 Mn.upf
Sb 121.76 Sb.upf
Au 196.97 Au.upf
ATOMIC_POSITIONS angstrom
Li 0.000 0.000 0.000
Mn 3.282 3.282 3.282
Sb 1.641 1.641 1.641
Au 4.923 4.923 4.923
CELL_PARAMETERS angstrom
0.000 3.282 3.282
3.282 0.000 3.282
3.282 3.282 0.000
```

The magnetic moment comes out at 3.8 Bohr magnetons per cell. The space-group type is F-43m (216). The total energy comes out at -4.8289 eV per atom. As for the crystal system: cubic.

***

The following is a DFT calculation (PBE) of a geometry-optimized PaInCuO6 structure. Values from VASP.

```
&SYSTEM
  ibrav = 0, nat = 9, ntyp = 4
/
ATOMIC_SPECIES
Pa 231.04 Pa.upf
In 114.82 In.upf
Cu 63.55 Cu.upf
O 16.00 O.upf
ATOMIC_POSITIONS angstrom
Pa 0.000 0.000 0.000
In 0.000 3.034 2.393
Cu 2.628 1.517 2.393
O 1.776 0.122 3.522
O 0.993 1.478 1.264
O 3.479 0.122 1.264
O 1.845 2.952 3.522
O 4.262 1.478 3.522
O 3.411 2.952 1.264
CELL_PARAMETERS angstrom
5.255 0.000 0.000
-2.628 4.551 0.000
0.000 0.000 4.786
```

The magnetic moment comes out at 1.0 Bohr magnetons per cell. The space-group type is P312 (149). The total energy comes out at -6.8887 eV per atom. As for the crystal system: trigonal.